(1)
Crystalline KRb3Pt at its relaxed geometry, computed with PBE.

```
10
Lattice="-0.287 4.567 -1.802 -13.095 0.102 2.341 8.346 3.386 7.253" Properties=species:S:1:pos:R:3 pbc="T T T"
Rb -5.721 6.213 7.320
Rb -5.226 2.727 5.119
Rb -0.179 3.263 5.674
Rb -2.448 4.507 2.477
Rb -9.020 3.363 0.622
Rb 1.297 1.481 0.923
Pt -2.963 5.753 5.717
Pt -2.937 3.722 7.276
K 3.421 5.085 3.009
K 3.774 4.288 7.643
```

Properties
Electronic total energy = -2.02 eV per atom
Symmetry = P2_1/m

---

(2)
Crystalline K6Rb12Pt at its relaxed geometry, computed with PBE.

```
19
Lattice="11.467 0.166 2.197 1.847 11.319 2.197 0.192 0.166 11.674" Properties=species:S:1:pos:R:3 pbc="T T T"
Rb 6.939 9.286 8.255
Rb 7.129 6.150 4.597
Rb 11.596 10.003 9.912
Rb 10.204 5.501 8.255
Rb 2.471 5.432 2.940
Rb 5.736 1.648 2.940
Rb 11.035 6.218 13.128
Rb 7.770 10.003 13.128
Rb 6.377 5.501 11.471
Rb 6.568 2.364 7.813
Rb 3.302 6.149 7.813
Rb 1.910 1.647 6.156
K 10.387 2.176 4.373
K 3.120 9.474 11.695
K 10.984 9.475 5.084
K 2.523 2.175 10.984
K 3.676 9.955 4.374
K 9.830 1.696 11.694
Pt 0.000 0.000 0.000
```

Properties
Electronic total energy = -1.26 eV per atom
Symmetry = R-3m

---

(3)
Crystalline K6Rb3Pt at its relaxed geometry, computed with PBE.

```
20
Lattice="-1.049 -11.118 -2.037 9.119 -4.312 5.207 -4.350 -3.873 9.744" Properties=species:S:1:pos:R:3 pbc="T T T"
K -2.323 -6.198 9.083
K 4.634 -10.420 7.707
K 6.044 -13.106 3.830
K -3.253 -12.803 6.962
K 3.765 -8.105 11.962
K 1.413 -12.576 5.411
K -0.045 -11.199 0.951
K 2.308 -6.727 7.502
K 3.354 -9.022 3.769
K 0.367 -10.281 9.144
K -0.914 -8.883 5.207
K 6.974 -6.501 5.952
Rb 0.165 -6.523 1.121
Rb 0.076 -15.110 9.313
Rb -0.965 -4.043 5.153
Rb 3.556 -12.780 11.793
Rb 4.686 -15.260 7.760
Rb 3.645 -4.193 3.600
Pt 1.860 -9.652 6.457
Pt 0.000 0.000 0.000
```

Properties
Electronic total energy = -1.54 eV per atom
Symmetry = R-3m